Compound: Li2NdMnO4
Source: the Alexandria database
Functional: PBE with a Hubbard U
Structure: optimized geometry

Calculated values
uncorrected energy = -6.54 eV/atom
spin magnetization = 4.000 μB per formula unit
V = 12.1 Å³ per atom

Cell lengths 3.3880, 12.0359, 9.5313 Å; angles 90.00, 90.00, 90.00 degrees
Last column: nearest neighbours and their distance in Å.
Space group Cmcm (No. 63)
Inequivalent atoms, fractional coordinates:
Li1 0.0000 0.0927 0.0383  4 O 1.86-2.06
Nd1 0.0000 0.4315 0.2500  8 O 2.47-2.64
Mn1 0.0000 0.2952 0.7500  2 O 1.84
O1 0.0000 0.1000 0.2500  2 Li 2.02, 2 Mn 2.11
O2 0.0000 0.1793 0.6238  1 Mn 1.84, 1 Li 1.86
O3 0.0000 0.5000 0.0000  4 Li 2.06